Record 1
A plane-wave DFT calculation with PBE-GGA was carried out for a relaxed structure of Ac4Tl5Zn2.

Values from the calculation:
Crystal system: monoclinic

a = 4.095 Å, b = 8.686 Å, c = 10.023 Å
α = 88.20°, β = 90.00°, γ = 90.00°
Fractional coordinates of all 11 atoms:
Ac  0.500  0.214  0.856
Tl  0.000  0.500  0.000
Zn  0.000  0.071  0.611
Zn  0.000  0.929  0.389
Ac  0.500  0.252  0.379
Tl  0.000  0.882  0.871
Tl  0.000  0.118  0.129
Tl  0.000  0.416  0.641
Tl  0.000  0.584  0.359
Ac  0.500  0.748  0.621
Ac  0.500  0.786  0.144

Record 2
A plane-wave DFT calculation with PBE-GGA was carried out for a relaxed structure of Ac2Tl3Zn.

Values from the calculation:
Crystal system: orthorhombic
Energy above the most stable polymorph in this dataset, meV per atom: 0

a = 6.553 Å, b = 6.553 Å, c = 9.731 Å
α = 105.05°, β = 105.05°, γ = 103.23°
Fractional coordinates of all 12 atoms:
Zn  0.667  0.667  0.334
Tl  0.173  0.653  0.827
Tl  0.827  0.827  0.654
Tl  0.173  0.173  0.346
Tl  0.653  0.173  0.827
Ac  0.753  0.753  0.000
Tl  0.347  0.827  0.173
Ac  0.750  0.250  0.500
Zn  0.333  0.333  0.666
Ac  0.247  0.247  0.000
Ac  0.250  0.750  0.500
Tl  0.827  0.347  0.173

Record 3
A plane-wave DFT calculation with PBE-GGA was carried out for a relaxed structure of AcTlZn.

Values from the calculation:
Crystal system: orthorhombic
Energy above the most stable polymorph in this dataset, meV per atom: 0

a = 4.928 Å, b = 6.449 Å, c = 6.449 Å
α = 84.65°, β = 67.55°, γ = 67.55°
Fractional coordinates of all 6 atoms:
Zn  0.444  0.951  0.264
Ac  0.235  0.816  0.816
Tl  0.010  0.362  0.722
Zn  0.444  0.264  0.951
Ac  0.733  0.319  0.319
Tl  0.010  0.722  0.362

Record 4
A plane-wave DFT calculation with PBE-GGA was carried out for a relaxed structure of Ac3Tl4Zn2.

Values from the calculation:
Crystal system: monoclinic

a = 4.997 Å, b = 6.525 Å, c = 9.532 Å
α = 106.41°, β = 90.00°, γ = 112.51°
Fractional coordinates of all 9 atoms:
Tl  0.699  0.398  0.055
Ac  0.355  0.710  0.319
Zn  0.665  0.329  0.333
Zn  0.335  0.671  0.667
Tl  0.914  0.828  0.596
Tl  0.301  0.602  0.945
Ac  0.000  0.000  0.000
Tl  0.086  0.172  0.404
Ac  0.645  0.290  0.681

For the records above, the corresponding energy values read -3.081, -3.045, -2.888, -3.015 eV per atom.
For the records above, the corresponding calculated formation energy values read -280, -280, -305, -311 meV/atom.